## Zr2SbSe (PBE)

Data for a relaxed Zr2SbSe crystal.

a b c (Å): 4.928 4.928 4.928
angles (deg): 60.00 60.00 60.00
Atoms (fractional coordinates):
1 Zr 0.250 0.250 0.250
2 Zr 0.750 0.750 0.750
3 Sb 0.000 0.000 0.000
4 Se 0.500 0.500 0.500

Results
The calculation puts the distance to the lowest polymorph of the same formula at 0.139 eV per atom. Its space group is Fm-3m, No. 225. The calculated volume comes out at 21.15 A^3/atom. As for the uncorrected formation energy: -0.79 eV/atom.

## Zr2AsOs (PBE)

Data for a relaxed Zr2AsOs crystal.

a b c (Å): 5.868 5.868 5.868
angles (deg): 146.75 136.95 55.46
Atoms (fractional coordinates):
1 Zr 0.000 0.000 0.000
2 Zr 0.732 0.232 0.500
3 As 0.293 0.793 0.500
4 Os 0.494 0.494 0.000

Results
Its space group is Imm2, No. 44. The calculated volume comes out at 18.78 A^3/atom. Its final energy is -8.752 eV/atom.